DFT (GGA+U) results for crystalline CaPuFe2O8 at its relaxed geometry.

POSCAR file:
```
CaPuFe2O8
1.0
-3.4895 3.4895 3.3026
3.4895 -3.4895 3.3026
3.4895 3.4895 -3.3026
Ca Pu Fe O
1 1 2 8
Direct
0.0000 0.0000 0.0000 Ca
0.2500 0.7500 0.5000 Pu
0.5000 0.5000 0.0000 Fe
0.7500 0.2500 0.5000 Fe
0.3121 0.1045 0.7924 O
0.3121 0.5197 0.2076 O
0.3902 0.0642 0.3260 O
0.4803 0.6879 0.7924 O
0.7382 0.0642 0.6740 O
0.8955 0.6879 0.2076 O
0.9358 0.2618 0.3260 O
0.9358 0.6098 0.6740 O
```

## Properties
* space group: I-4m2
* energy: -87.8 eV for the cell shown
* M_tot: 5.982 Bohr magnetons per cell